NiRhN2O: optimized geometry, GGA+U.

Computed properties:
electronic total energy = -25.76 eV/cell

abc: 3.729 3.729 4.368
angles: 90.00 90.00 90.00
Sites, in units of the cell vectors:
Ni1 0.000 0.000 0.000
Rh1 0.500 0.500 0.500
N1 0.000 0.500 0.500
N2 0.500 0.000 0.500
O1 0.500 0.500 0.000